Entry 1:
ZrFe2Au: relaxed, GGA-PBE.

Structure (CIF):
```
data_ZrFe2Au
_chemical_formula_sum 'Zr2 Fe4 Au2'
_space_group_name_H-M_alt 'C 1 2/m 1'
_space_group_IT_number 12
_cell_length_a 5.606
_cell_length_b 8.883
_cell_length_c 2.818
_cell_angle_alpha 90.00
_cell_angle_beta 113.87
_cell_angle_gamma 90.00
loop_
_space_group_symop_operation_xyz
'x,y,z'
'-x,-y,-z'
'-x,y,-z'
'x,-y,z'
'x+1/2,y+1/2,z'
'-x+1/2,-y+1/2,-z'
'-x+1/2,y+1/2,-z'
'x+1/2,-y+1/2,z'
loop_
_atom_site_label
_atom_site_type_symbol
_atom_site_fract_x
_atom_site_fract_y
_atom_site_fract_z
Zr1 Zr 0.000 0.000 0.000
Fe1 Fe 0.250 0.250 0.500
Au1 Au 0.000 0.500 0.000
```

Properties
- energy above the most stable polymorph in this dataset (meV/atom) = 252
- total energy (eV per atom) = -7.0420
- crystal system = monoclinic
- spin magnetization (μB per formula unit) = 4.2

Entry 2:
Zr2FeAu: relaxed, GGA-PBE.

Structure (CIF):
```
data_Zr2FeAu
_chemical_formula_sum 'Zr2 Fe1 Au1'
_space_group_name_H-M_alt 'P 4 m m'
_space_group_IT_number 99
_cell_length_a 3.423
_cell_length_b 3.423
_cell_length_c 6.429
_cell_angle_alpha 90.00
_cell_angle_beta 90.00
_cell_angle_gamma 90.00
loop_
_space_group_symop_operation_xyz
'x,y,z'
'-y,x,z'
'-x,-y,z'
'y,-x,z'
'-x,y,z'
'y,x,z'
'x,-y,z'
'-y,-x,z'
loop_
_atom_site_label
_atom_site_type_symbol
_atom_site_fract_x
_atom_site_fract_y
_atom_site_fract_z
Zr1 Zr 0.000 0.000 0.000
Zr2 Zr 0.500 0.500 0.302
Fe1 Fe 0.500 0.500 0.793
Au1 Au 0.000 0.000 0.548
```

Properties
- energy above the most stable polymorph in this dataset (meV/atom) = 164
- total energy (eV per atom) = -7.3747
- crystal system = tetragonal
- spin magnetization (μB per formula unit) = 2.2

Entry 3:
ZrFe2Au: relaxed, GGA-PBE.

Structure (CIF):
```
data_ZrFe2Au
_chemical_formula_sum 'Zr4 Fe8 Au4'
_space_group_name_H-M_alt 'F -4 3 m'
_space_group_IT_number 216
_space_group_name_Hall 'F -4 2 3'
_cell_length_a 6.371
_cell_length_b 6.371
_cell_length_c 6.371
_cell_angle_alpha 90.00
_cell_angle_beta 90.00
_cell_angle_gamma 90.00
loop_
_atom_site_label
_atom_site_type_symbol
_atom_site_fract_x
_atom_site_fract_y
_atom_site_fract_z
Zr1 Zr 0.000 0.000 0.000
Fe1 Fe 0.000 0.000 0.500
Fe2 Fe 0.250 0.250 0.250
Au1 Au 0.250 0.250 0.750
```

Properties
- energy above the most stable polymorph in this dataset (meV/atom) = 111
- total energy (eV per atom) = -7.1836
- crystal system = cubic
- spin magnetization (μB per formula unit) = 4.5

Computed energy relative to the elements (eV per atom) in order:
0.15 -0.17 0.00